Density functional theory data (PBE-GGA) for a relaxed structure of Al2TcOs.

Output
ΔE_f: 0.4333 eV/atom
energy above the most stable polymorph in this dataset: 770 meV/atom
theoretical density: 9.0 g cm⁻³

a b c (Å): 6.8547 6.8547 5.5383
angles (deg): 51.77 51.77 90.00
Last column: nearest neighbours and their distance in Å.
Fractional coordinates of all 8 atoms:
Os  0.0000  0.0000  0.0000  4 Al 2.47, 2 Tc 2.68
Os  0.7500  0.2500  0.5000  4 Al 2.47, 2 Tc 2.68
Tc  0.5000  0.5000  0.0000  4 Al 2.56, 2 Os 2.68
Tc  0.2500  0.7500  0.5000  4 Al 2.56, 2 Os 2.68
Al  0.6338  0.1250  0.2500  2 Os 2.47, 2 Tc 2.56, 2 Al 2.68
Al  0.1162  0.6250  0.2500  2 Os 2.47, 2 Tc 2.56, 2 Al 2.68
Al  0.3750  0.3662  0.7500  2 Os 2.47, 2 Tc 2.56, 2 Al 2.68
Al  0.8750  0.8838  0.7500  2 Os 2.47, 2 Tc 2.56, 2 Al 2.68